# 1
# Ta3W PBE optimized geometry
# **Calculated formation energy**: -35 meV/atom
data_Ta3W
_space_group_name_H-M_alt 'P 1 2/m 1'
_space_group_IT_number 10
_cell_length_a 2.865
_cell_length_b 4.613
_cell_length_c 5.432
_cell_angle_alpha 90.00
_cell_angle_beta 100.52
_cell_angle_gamma 90.00
loop_
_space_group_symop_operation_xyz
'x,y,z'
'-x,-y,-z'
'-x,y,-z'
'x,-y,z'
loop_
_atom_site_label
_atom_site_type_symbol
_atom_site_fract_x
_atom_site_fract_y
_atom_site_fract_z
Ta1 Ta 0.000 0.000 0.000
Ta2 Ta 0.264 0.500 0.746
W1 W 0.500 0.000 0.500

# 2
# Sm3Ho2Zn3 PBE optimized geometry
# **Calculated formation energy**: -238 meV/atom
data_Sm3Ho2Zn3
_space_group_name_H-M_alt 'I m m m'
_space_group_IT_number 71
_space_group_name_Hall '-I 2 2'
_cell_length_a 3.645
_cell_length_b 5.262
_cell_length_c 21.563
_cell_angle_alpha 90.00
_cell_angle_beta 90.00
_cell_angle_gamma 90.00
loop_
_atom_site_label
_atom_site_type_symbol
_atom_site_fract_x
_atom_site_fract_y
_atom_site_fract_z
Sm1 Sm 0.000 0.000 0.000
Sm2 Sm 0.000 0.500 0.119
Ho1 Ho 0.000 0.000 0.230
Zn1 Zn 0.000 0.000 0.500
Zn2 Zn 0.000 0.500 0.382

# 3
# Tm4SbIr PBE optimized geometry
# **Offset from the most stable computed form**: 0.0783 eV per atom
data_Tm4SbIr
_space_group_name_H-M_alt 'P m m m'
_space_group_IT_number 47
_cell_length_a 4.808
_cell_length_b 4.819
_cell_length_c 7.277
_cell_angle_alpha 90.00
_cell_angle_beta 90.00
_cell_angle_gamma 90.00
loop_
_space_group_symop_operation_xyz
'x,y,z'
'-x,-y,-z'
'-x,-y,z'
'x,y,-z'
'x,-y,-z'
'-x,y,z'
'-x,y,-z'
'x,-y,z'
loop_
_atom_site_label
_atom_site_type_symbol
_atom_site_fract_x
_atom_site_fract_y
_atom_site_fract_z
Tm1 Tm 0.000 0.000 0.222
Tm2 Tm 0.500 0.500 0.222
Sb1 Sb 0.000 0.500 0.500
Ir1 Ir 0.500 0.000 0.000

The calculation returns the following total energy values, one per record and in order: -12.16 -3.63 -5.81 eV per atom.
The calculation returns the following density of states at the Fermi level values, one per record and in order: 4.595 9.756 4.841 states/eV/f.u..
The calculation returns the following total magnetic moment values, one per record and in order: 0.00 0.00 0.00 Bohr magnetons per cell.